Record 1
## CaTbGa3 (PBE)

Data for an optimized crystal structure of CaTbGa3.

**E above lowest polymorph**: 0.0491 eV/atom
**Energy of formation**: -0.528 eV per atom
**Crystal system**: orthorhombic
**Electronic total energy**: -3.670 eV per atom
**SG**: Cmcm
**D(E_F)**: 7.3 states/eV per cell

a = 13.3710 Å, b = 13.3710 Å, c = 4.3118 Å
α = 90.00°, β = 90.00°, γ = 162.44°
With the nearest neighbours (Å) after each atom.
Fractional coordinates of all 10 atoms:
Ca (0.0744, 0.9256, 0.7500)  12 Ga 3.20-3.39
Ca (0.9256, 0.0744, 0.2500)  12 Ga 3.20-3.39
Tb (0.2064, 0.7936, 0.2500)  7 Ga 3.06-3.08
Tb (0.7936, 0.2064, 0.7500)  7 Ga 3.06-3.08
Ga (0.3231, 0.6769, 0.2500)  2 Ga 2.63
Ga (0.3800, 0.6200, 0.7500)  3 Ga 2.54-2.63
Ga (0.4760, 0.5240, 0.7500)  3 Ga 2.50-2.54
Ga (0.5240, 0.4760, 0.2500)  3 Ga 2.50-2.54
Ga (0.6200, 0.3800, 0.2500)  3 Ga 2.54-2.63
Ga (0.6769, 0.3231, 0.7500)  2 Ga 2.63

=====

Record 2
## AcPmEuGa (PBE)

Data for an optimized crystal structure of AcPmEuGa.

**Energy of formation**: 0.037 eV per atom
**Crystal system**: cubic
**Electronic total energy**: -5.503 eV per atom
**SG**: F-43m
**D(E_F)**: 6.0 states/eV per cell

a = 5.6466 Å, b = 5.6466 Å, c = 5.6466 Å
α = 60.00°, β = 60.00°, γ = 60.00°
With the nearest neighbours (Å) after each atom.
Fractional coordinates of all 4 atoms:
Ac (0.0000, 0.0000, 0.0000)  4 Eu 3.46, 4 Pm 3.46
Pm (0.2500, 0.2500, 0.2500)  4 Ac 3.46, 4 Ga 3.46
Eu (0.7500, 0.7500, 0.7500)  4 Ac 3.46, 4 Ga 3.46
Ga (0.5000, 0.5000, 0.5000)  4 Eu 3.46, 4 Pm 3.46

=====

Record 3
## Ag2HgPt (PBE)

Data for an optimized crystal structure of Ag2HgPt.

**Energy of formation**: 0.045 eV per atom
**Crystal system**: cubic
**Electronic total energy**: -2.967 eV per atom
**SG**: F-43m
**D(E_F)**: 1.8 states/eV per cell

a = 4.6764 Å, b = 4.6764 Å, c = 4.6764 Å
α = 60.00°, β = 60.00°, γ = 60.00°
With the nearest neighbours (Å) after each atom.
Fractional coordinates of all 4 atoms:
Ag (0.0000, 0.0000, 0.0000)  4 Pt 2.86, 4 Ag 2.86
Ag (0.2500, 0.2500, 0.2500)  4 Hg 2.86, 4 Ag 2.86
Hg (0.5000, 0.5000, 0.5000)  4 Pt 2.86, 4 Ag 2.86
Pt (0.7500, 0.7500, 0.7500)  4 Hg 2.86, 4 Ag 2.86

=====

Record 4
## SbP2AuS (PBE)

Data for an optimized crystal structure of SbP2AuS.

**E above lowest polymorph**: 0.0000 eV/atom
**E_form (uncorrected)**: 885 meV per atom
**Crystal system**: tetragonal
**Electronic total energy**: -3.584 eV per atom
**SG**: P4/mmm
**D(E_F)**: 6.0 states/eV per cell

a = 4.7900 Å, b = 4.7900 Å, c = 4.9032 Å
α = 90.00°, β = 90.00°, γ = 90.00°
With the nearest neighbours (Å) after each atom.
Fractional coordinates of all 5 atoms:
Sb (0.0000, 0.0000, 0.0000)  4 S 3.39, 8 P 3.43
P (0.0000, 0.5000, 0.5000)  2 Au 2.39
P (0.5000, 0.0000, 0.5000)  2 Au 2.39
Au (0.5000, 0.5000, 0.5000)  4 P 2.39, 2 S 2.45
S (0.5000, 0.5000, 0.0000)  2 Au 2.45

=====

Looking at mass density for the records above, in order, we have 5.83, 7.74, 14.04, 6.09 g/cm3.